## Cr2SbAs (GGA-PBE)

Data for an optimized crystal structure of Cr2SbAs.

a b c (Å): 9.7504 3.5430 4.3159
angles (deg): 90.00 100.88 90.00
Space group Cm (No. 8)
Symmetry-distinct sites (fractional):
Cr  0.0000  0.0000  0.0000 [2 per cell]
Cr  0.2147  0.0000  0.6138 [2 per cell]
Sb  0.2373  0.5000  0.1259 [2 per cell]
As  0.4849  0.0000  0.5427 [2 per cell]

Output
As for the spin magnetization: 1.618 μB/atom. Its formation energy from raw total energies is 23.1 kJ per mole of atoms.

***

## KBa2LiTl (GGA-PBE)

Data for an optimized crystal structure of KBa2LiTl.

a b c (Å): 6.8709 6.8709 5.5906
angles (deg): 90.00 90.00 90.00
Space group P4/mmm (No. 123)
Symmetry-distinct sites (fractional):
K  0.0000  0.0000  0.0000 [1 per cell]
Ba  0.0000  0.5000  0.5000 [2 per cell]
Li  0.5000  0.5000  0.0000 [1 per cell]
Tl  0.5000  0.5000  0.5000 [1 per cell]

Output
The calculation puts the energy relative to the elements at -0.01 eV per atom. As for the spin magnetization: 0.000 μB/atom.

***

## Cs2TaInF6 (GGA-PBE)

Data for an optimized crystal structure of Cs2TaInF6.

a b c (Å): 9.5875 9.5875 9.5875
angles (deg): 90.00 90.00 90.00
Space group Fm-3m (No. 225)
Symmetry-distinct sites (fractional):
Cs  0.2500  0.2500  0.2500 [8 per cell]
Ta  0.0000  0.0000  0.0000 [4 per cell]
In  0.0000  0.0000  0.5000 [4 per cell]
F  0.0000  0.0000  0.2171 [24 per cell]

Output
As for the spin magnetization: 0.200 μB/atom. Its formation energy from raw total energies is -237.1 kJ per mole of atoms.

***

## Be2MoP (GGA-PBE)

Data for an optimized crystal structure of Be2MoP.

a b c (Å): 6.4080 6.4080 4.7356
angles (deg): 90.00 90.00 90.00
Space group I-42d (No. 122)
Symmetry-distinct sites (fractional):
Be  0.2038  0.2500  0.1250 [8 per cell]
Mo  0.0000  0.0000  0.5000 [4 per cell]
P  0.0000  0.0000  0.0000 [4 per cell]

Output
The calculation puts the energy relative to the elements at 0.23 eV per atom. As for the spin magnetization: 0.000 μB/atom.

***

## KYVBi2 (GGA-PBE)

Data for an optimized crystal structure of KYVBi2.

a b c (Å): 5.9455 5.9455 5.6048
angles (deg): 90.00 90.00 90.00
Space group P4/mmm (No. 123)
Symmetry-distinct sites (fractional):
K  0.0000  0.0000  0.0000 [1 per cell]
Y  0.5000  0.5000  0.5000 [1 per cell]
V  0.5000  0.5000  0.0000 [1 per cell]
Bi  0.0000  0.5000  0.5000 [2 per cell]

Output
The calculation puts the energy relative to the elements at 0.51 eV per atom. As for the spin magnetization: 0.720 μB/atom.

***

## AcGe2Mo (GGA-PBE)

Data for an optimized crystal structure of AcGe2Mo.

a b c (Å): 4.3955 4.3955 16.6616
angles (deg): 90.00 90.00 120.00
Space group R-3m (No. 166, hexagonal axes)
Symmetry-distinct sites (fractional):
Ac  0.0000  0.0000  0.0000 [3 per cell]
Ge  0.0000  0.0000  0.2131 [6 per cell]
Mo  0.0000  0.0000  0.5000 [3 per cell]

Output
The calculation puts the energy relative to the elements at -0.22 eV per atom. As for the spin magnetization: 0.004 μB/atom.

***

## Re3PdS (GGA-PBE)

Data for an optimized crystal structure of Re3PdS.

a b c (Å): 4.7432 4.7432 4.7432
angles (deg): 90.00 90.00 90.00
Space group Pm-3m (No. 221)
Symmetry-distinct sites (fractional):
Re  0.0000  0.0000  0.5000 [3 per cell]
Pd  0.0000  0.0000  0.0000 [1 per cell]
S  0.5000  0.5000  0.5000 [1 per cell]

Output
As for the spin magnetization: 0.735 μB/atom. Its formation energy from raw total energies is 284.2 kJ per mole of atoms.

***

## Pm8Mg3Os2 (GGA-PBE)

Data for an optimized crystal structure of Pm8Mg3Os2.

a b c (Å): 18.2417 8.3665 4.9130
angles (deg): 90.00 91.70 90.00
Space group C2/m (No. 12)
Symmetry-distinct sites (fractional):
Pm  0.0735  0.0000  0.2635 [4 per cell]
Pm  0.1656  0.5000  0.2376 [4 per cell]
Pm  0.1740  0.2140  0.7523 [8 per cell]
Mg  0.0000  0.3178  0.0000 [4 per cell]
Mg  0.0000  0.5000  0.5000 [2 per cell]
Os  0.2287  0.0000  0.2354 [4 per cell]

Output
The calculation puts the energy relative to the elements at 0.03 eV per atom. As for the spin magnetization: 0.000 μB/atom.

***

## BeTlAu2 (GGA-PBE)

Data for an optimized crystal structure of BeTlAu2.

a b c (Å): 6.6444 6.6444 6.6444
angles (deg): 90.00 90.00 90.00
Space group F-43m (No. 216)
Symmetry-distinct sites (fractional):
Be  0.0000  0.0000  0.0000 [4 per cell]
Tl  0.2500  0.2500  0.2500 [4 per cell]
Au  0.0000  0.0000  0.5000 [4 per cell]
Au  0.2500  0.2500  0.7500 [4 per cell]

Output
The calculation puts the energy relative to the elements at 0.38 eV per atom. As for the spin magnetization: 0.000 μB/atom.

***

## Pr2Ga3AsPt4 (GGA-PBE)

Data for an optimized crystal structure of Pr2Ga3AsPt4.

a b c (Å): 4.3884 4.3884 10.2131
angles (deg): 90.00 90.00 90.00
Space group P-4m2 (No. 115)
Symmetry-distinct sites (fractional):
Pr  0.0000  0.5000  0.2475 [2 per cell]
Ga  0.0000  0.0000  0.0000 [1 per cell]
Ga  0.0000  0.5000  0.6282 [2 per cell]
As  0.5000  0.5000  0.0000 [1 per cell]
Pt  0.0000  0.0000  0.5000 [1 per cell]
Pt  0.0000  0.5000  0.8721 [2 per cell]
Pt  0.5000  0.5000  0.5000 [1 per cell]

Output
The calculation puts the energy relative to the elements at -0.95 eV per atom. As for the spin magnetization: 0.000 μB/atom.

***

## SrH3Br (GGA-PBE)

Data for an optimized crystal structure of SrH3Br.

a b c (Å): 4.4938 4.4938 4.4938
angles (deg): 90.00 90.00 90.00
Space group Pm-3m (No. 221)
Symmetry-distinct sites (fractional):
Sr  0.0000  0.0000  0.0000 [1 per cell]
H  0.0000  0.0000  0.5000 [3 per cell]
Br  0.5000  0.5000  0.5000 [1 per cell]

Output
The energy is -2.39 eV/atom. As for the spin magnetization: 0.390 μB/atom.

***

## Be2FeAg (GGA-PBE)

Data for an optimized crystal structure of Be2FeAg.

a b c (Å): 2.6911 2.6911 6.2421
angles (deg): 90.00 90.00 90.00
Space group P4mm (No. 99)
Symmetry-distinct sites (fractional):
Be  0.0000  0.0000  0.0000 [1 per cell]
Be  0.5000  0.5000  0.1813 [1 per cell]
Fe  0.0000  0.0000  0.3971 [1 per cell]
Ag  0.5000  0.5000  0.7326 [1 per cell]

Output
The calculation puts the energy relative to the elements at 0.16 eV per atom. As for the spin magnetization: 0.566 μB/atom.

***

## Pu4As3Se (GGA-PBE)

Data for an optimized crystal structure of Pu4As3Se.

a b c (Å): 5.8468 5.8468 5.8468
angles (deg): 90.00 90.00 90.00
Space group Pm-3m (No. 221)
Symmetry-distinct sites (fractional):
Pu  0.0000  0.0000  0.0000 [1 per cell]
Pu  0.0000  0.5000  0.5000 [3 per cell]
As  0.0000  0.0000  0.5000 [3 per cell]
Se  0.5000  0.5000  0.5000 [1 per cell]

Output
As for the spin magnetization: 1.302 μB/atom. Its formation energy from raw total energies is -110.1 kJ per mole of atoms.

***

V: 18.30; 52.79; 22.03; 12.15; 39.62; 23.23; 21.34; 28.83; 18.33; 19.67; 18.15; 11.30; 24.98 (Å³/atom)